Compound: YZrV
Source: Alexandria via LeMat-Bulk
Functional: PBE
Structure: optimized geometry

ΔE to the lowest computed polymorph = 11.7 meV per atom
calculated total energy = -7.85 eV per atom

Lattice parameters (Å, degrees): 7.8003 3.4130 10.9324 90.00 111.44 90.00
Positions (direct):
V: 0.9877 0.5000 0.1164
V: 0.1037 0.0000 0.0051
V: 0.9877 0.0000 0.6164
V: 0.1037 0.5000 0.5051
Y: 0.6179 0.5000 0.4749
Y: 0.8104 0.5000 0.7951
Y: 0.6179 0.0000 0.9749
Y: 0.8104 0.0000 0.2951
Zr: 0.3906 0.0000 0.6395
Zr: 0.2296 0.0000 0.3085
Zr: 0.2296 0.5000 0.8085
Zr: 0.3906 0.5000 0.1395